# Cs3Tb2CeTe6

A geometry-optimized Cs3Tb2CeTe6 structure (PBE, the Alexandria database).

a = 8.0118 Å, b = 13.8761 Å, c = 9.3154 Å
α = 90.00°, β = 106.67°, γ = 90.00°
Closest atoms and distances in Å follow each position.
Space group C2/m (No. 12)
Inequivalent atoms, fractional coordinates:
Cs 0.0000 0.0000 0.0000 x2  6 Te 3.80-3.86
Cs 0.0000 0.3348 0.0000 x4  6 Te 3.80-3.86
Tb 0.0000 0.1668 0.5000 x4  6 Te 3.14
Ce 0.0000 0.5000 0.5000 x2  6 Te 3.22
Te 0.2226 0.0000 0.6909 x4  2 Tb 3.14, 1 Ce 3.22
Te 0.2344 0.3295 0.6915 x8  2 Tb 3.14, 1 Ce 3.22

- Raw total energy: -106.15 eV per cell
- E_form (uncorrected): -1.373 eV/atom
- ρ: 5.4 g/cm3
- DOS at the Fermi energy: 8.52 states/eV/f.u.


# Cs3CeTe6

A geometry-optimized Cs3CeTe6 structure (PBE, the Alexandria database).

a = 15.8756 Å, b = 15.8756 Å, c = 12.7537 Å
α = 90.00°, β = 90.00°, γ = 120.00°
Closest atoms and distances in Å follow each position.
Space group R-3c (No. 167, hexagonal axes)
Inequivalent atoms, fractional coordinates:
Cs 0.0000 0.3983 0.2500 x18  4 Te 3.72-4.09
Ce 0.0000 0.0000 0.0000 x6  6 Te 3.12
Te 0.0296 0.1715 0.3563 x36  1 Te 2.83, 1 Ce 3.12

- Raw total energy: -213.38 eV per cell
- E_form (uncorrected): -0.822 eV/atom
- ρ: 4.7 g/cm3
- DOS at the Fermi energy: 5.55 states/eV/f.u.